[1]
DFT (PBE) results for a relaxed structure of Tb4YTh5.

abc: 12.852 12.852 7.103
angles: 98.10 98.10 16.06
Sites, in units of the cell vectors:
1 Tb 0.100 0.100 0.307
2 Tb 0.299 0.299 0.897
3 Tb 0.701 0.701 0.103
4 Tb 0.900 0.900 0.693
5 Y 0.500 0.500 0.000
6 Th 0.100 0.100 0.793
7 Th 0.300 0.300 0.399
8 Th 0.500 0.500 0.500
9 Th 0.700 0.700 0.601
10 Th 0.900 0.900 0.207

SG = C2/m, No. 12
Formation energy = 33 meV/atom



[2]
DFT (PBE) results for a relaxed structure of Tb2Y8Th.

abc: 9.460 9.460 7.992
angles: 104.66 104.66 31.02
Sites, in units of the cell vectors:
1 Tb 0.228 0.228 0.135
2 Tb 0.772 0.772 0.865
3 Y 0.045 0.045 0.232
4 Y 0.135 0.135 0.681
5 Y 0.320 0.320 0.592
6 Y 0.409 0.409 0.048
7 Y 0.591 0.591 0.952
8 Y 0.680 0.680 0.408
9 Y 0.865 0.865 0.319
10 Y 0.955 0.955 0.768
11 Th 0.500 0.500 0.500

SG = C2/m, No. 12
Formation energy = 31 meV/atom
Distance to the lowest polymorph of the same formula = 0.00 kcal/mol of atoms



[3]
DFT (PBE) results for a relaxed structure of Tb12Y6Th.

abc: 8.749 8.749 8.749
angles: 99.95 99.95 99.95
Sites, in units of the cell vectors:
1 Tb 0.000 0.255 0.745
2 Tb 0.000 0.745 0.255
3 Tb 0.154 0.154 0.425
4 Tb 0.154 0.425 0.154
5 Tb 0.255 0.000 0.745
6 Tb 0.255 0.745 0.000
7 Tb 0.425 0.154 0.154
8 Tb 0.575 0.846 0.846
9 Tb 0.745 0.000 0.255
10 Tb 0.745 0.255 0.000
11 Tb 0.846 0.575 0.846
12 Tb 0.846 0.846 0.575
13 Y 0.166 0.606 0.606
14 Y 0.394 0.394 0.834
15 Y 0.394 0.834 0.394
16 Y 0.606 0.166 0.606
17 Y 0.606 0.606 0.166
18 Y 0.834 0.394 0.394
19 Th 0.500 0.500 0.500

SG = R-3m, No. 166
Formation energy = 218 meV/atom
Distance to the lowest polymorph of the same formula = 1.69 kcal/mol of atoms